! CePuHfAl (GGA-PBE, optimized geometry); values from VASP
&SYSTEM
  ibrav = 0, nat = 4, ntyp = 4
/
ATOMIC_SPECIES
Hf 178.49 Hf.upf
Al 26.98 Al.upf
Ce 140.12 Ce.upf
Pu 244.00 Pu.upf
ATOMIC_POSITIONS crystal
Hf 0.250 0.250 0.250
Al 0.000 0.000 0.000
Ce 0.750 0.750 0.750
Pu 0.500 0.500 0.500
CELL_PARAMETERS angstrom
-4.223 -2.574 1.003
0.054 -3.697 3.435
-2.349 0.630 4.422
! Total magnetic moment ... 7.182 Bohr magnetons per cell
! Density of states at the Fermi level ... 13.1 states/eV per cell
! Energy of formation from the pure elements ... -17 kJ/mol of formula units